! PBE-GGA AcSc4Au3O12, optimized geometry; values from VASP
&SYSTEM
  ibrav = 0, nat = 20, ntyp = 4
/
ATOMIC_SPECIES
Ac 227.00 Ac.upf
Sc 44.96 Sc.upf
Au 196.97 Au.upf
O 16.00 O.upf
ATOMIC_POSITIONS crystal
Ac 0.000 0.000 0.000
Sc 0.500 0.000 0.000
Sc 0.500 0.500 0.500
Sc 0.000 0.500 0.000
Sc 0.000 0.000 0.500
Au 0.000 0.500 0.500
Au 0.500 0.500 0.000
Au 0.500 0.000 0.500
O 0.302 0.833 0.135
O 0.698 0.167 0.865
O 0.698 0.833 0.530
O 0.865 0.698 0.167
O 0.833 0.135 0.302
O 0.167 0.470 0.302
O 0.470 0.302 0.167
O 0.167 0.865 0.698
O 0.302 0.167 0.470
O 0.135 0.302 0.833
O 0.833 0.530 0.698
O 0.530 0.698 0.833
CELL_PARAMETERS angstrom
-2.967 -1.339 6.081
6.442 -2.465 -0.008
0.146 6.818 -1.036
! formation energy (no corrections) = -2.249 eV/atom



! PBE-GGA V2HPdAu, optimized geometry; values from VASP
&SYSTEM
  ibrav = 0, nat = 5, ntyp = 4
/
ATOMIC_SPECIES
H 1.01 H.upf
Au 196.97 Au.upf
Pd 106.42 Pd.upf
V 50.94 V.upf
ATOMIC_POSITIONS crystal
H 0.000 0.000 0.000
Au 0.500 0.500 0.500
Pd 0.000 0.000 0.500
V 0.000 0.500 0.000
V 0.500 0.000 0.000
CELL_PARAMETERS angstrom
-2.836 1.904 1.842
-2.055 0.122 -3.290
-1.762 -3.562 0.968
! polymorph energy (0 for the lowest one) = 0.0 meV per atom



! PBE-GGA CrCu2Ge, optimized geometry; values from VASP
&SYSTEM
  ibrav = 0, nat = 8, ntyp = 3
/
ATOMIC_SPECIES
Cr 52.00 Cr.upf
Ge 72.64 Ge.upf
Cu 63.55 Cu.upf
ATOMIC_POSITIONS crystal
Cr 0.500 0.500 0.000
Cr 0.250 0.750 0.500
Ge 0.000 0.000 0.000
Ge 0.750 0.250 0.500
Cu 0.627 0.125 0.250
Cu 0.123 0.625 0.250
Cu 0.375 0.373 0.750
Cu 0.875 0.877 0.750
CELL_PARAMETERS angstrom
-2.140 0.853 -2.718
-2.643 -1.862 1.497
-5.113 6.967 3.878
! formation energy from the elements = 0.323 eV/atom



! PBE-GGA Dy6MgZn5, optimized geometry; values from VASP
&SYSTEM
  ibrav = 0, nat = 12, ntyp = 3
/
ATOMIC_SPECIES
Mg 24.30 Mg.upf
Zn 65.41 Zn.upf
Dy 162.50 Dy.upf
ATOMIC_POSITIONS crystal
Mg 0.000 0.000 0.000
Zn 0.665 0.500 0.670
Zn 0.343 0.000 0.315
Zn 0.000 0.500 0.000
Zn 0.657 0.000 0.685
Zn 0.335 0.500 0.330
Dy 0.829 0.747 0.342
Dy 0.829 0.253 0.342
Dy 0.500 0.261 0.000
Dy 0.500 0.739 0.000
Dy 0.171 0.747 0.658
Dy 0.171 0.253 0.658
CELL_PARAMETERS angstrom
4.810 -0.029 1.603
0.039 7.233 0.013
-0.008 -0.014 8.043
! formation energy from the elements = -0.289 eV/atom



! PBE-GGA NaLiSnPb, optimized geometry; values from VASP
&SYSTEM
  ibrav = 0, nat = 4, ntyp = 4
/
ATOMIC_SPECIES
Na 22.99 Na.upf
Li 6.94 Li.upf
Sn 118.71 Sn.upf
Pb 207.20 Pb.upf
ATOMIC_POSITIONS crystal
Na 0.000 0.000 0.081
Li 0.000 0.000 0.561
Sn 0.500 0.500 0.359
Pb 0.500 0.500 0.784
CELL_PARAMETERS angstrom
3.479 0.000 0.000
0.000 3.479 0.000
0.000 0.000 8.097
! polymorph energy (0 for the lowest one) = 0.0 meV per atom
! formation energy from the elements = -0.218 eV/atom



! PBE-GGA Nd6Zn3Ag, optimized geometry; values from VASP
&SYSTEM
  ibrav = 0, nat = 20, ntyp = 3
/
ATOMIC_SPECIES
Nd 144.24 Nd.upf
Zn 65.41 Zn.upf
Ag 107.87 Ag.upf
ATOMIC_POSITIONS crystal
Nd 0.250 0.468 0.094
Nd 0.750 0.532 0.906
Nd 0.250 0.127 0.149
Nd 0.750 0.873 0.851
Nd 0.250 0.654 0.678
Nd 0.750 0.346 0.322
Nd 0.250 0.265 0.504
Nd 0.750 0.735 0.496
Nd 0.250 0.839 0.308
Nd 0.750 0.161 0.692
Nd 0.250 0.105 0.870
Nd 0.750 0.895 0.130
Zn 0.250 0.531 0.378
Zn 0.750 0.469 0.622
Zn 0.250 0.388 0.785
Zn 0.750 0.612 0.215
Zn 0.250 0.770 0.977
Zn 0.750 0.230 0.023
Ag 0.250 0.950 0.593
Ag 0.750 0.050 0.407
CELL_PARAMETERS angstrom
5.255 0.000 0.000
0.000 8.795 -2.969
0.000 0.022 11.716
! formation energy from the elements = -0.183 eV/atom